(1)
! Pm4Bi8Rh3 PBE relaxed; values from VASP
&SYSTEM
  ibrav = 0, nat = 15, ntyp = 3
/
ATOMIC_SPECIES
Pm 145.00 Pm.upf
Bi 208.98 Bi.upf
Rh 102.91 Rh.upf
CELL_PARAMETERS angstrom
4.635 0.000 0.000
0.000 4.635 0.000
0.000 0.000 19.201
ATOMIC_POSITIONS crystal
Pm 0.000 0.500 0.111
Pm 0.000 0.500 0.614
Pm 0.500 0.000 0.386
Pm 0.500 0.000 0.889
Bi 0.000 0.000 0.248
Bi 0.000 0.000 0.752
Bi 0.000 0.500 0.418
Bi 0.000 0.500 0.926
Bi 0.500 0.000 0.074
Bi 0.500 0.000 0.582
Bi 0.500 0.500 0.247
Bi 0.500 0.500 0.753
Rh 0.000 0.000 0.000
Rh 0.000 0.000 0.500
Rh 0.500 0.500 0.500
! Crystal system: tetragonal
! Space group: No. 115


(2)
! Pm12BiRh6 PBE relaxed; values from VASP
&SYSTEM
  ibrav = 0, nat = 19, ntyp = 3
/
ATOMIC_SPECIES
Pm 145.00 Pm.upf
Bi 208.98 Bi.upf
Rh 102.91 Rh.upf
CELL_PARAMETERS angstrom
-5.098 5.098 5.098
5.098 -5.098 5.098
5.098 5.098 -5.098
ATOMIC_POSITIONS crystal
Pm 0.119 0.812 0.307
Pm 0.188 0.307 0.494
Pm 0.188 0.693 0.881
Pm 0.307 0.119 0.812
Pm 0.307 0.494 0.188
Pm 0.494 0.188 0.307
Pm 0.506 0.812 0.693
Pm 0.693 0.506 0.812
Pm 0.693 0.881 0.188
Pm 0.812 0.307 0.119
Pm 0.812 0.693 0.506
Pm 0.881 0.188 0.693
Bi 0.000 0.000 0.000
Rh 0.131 0.631 0.500
Rh 0.369 0.500 0.869
Rh 0.500 0.131 0.631
Rh 0.500 0.869 0.369
Rh 0.631 0.500 0.131
Rh 0.869 0.369 0.500
! Crystal system: cubic
! Space group: No. 204


no.,size of the total moment (μB per atom),final energy (eV/cell)
1,0.0000,-80.99
2,0.0000,-115.94